1.
A plane-wave DFT calculation with PBE-GGA was carried out for a geometry-optimized YZr2Pt2 structure.

Cell lengths 4.9934, 4.9934, 9.6983 Å; angles 90.00, 90.00, 90.00 degrees
Space group I4/mmm (No. 139)
Symmetry-distinct sites (fractional):
Y1 0.0000 0.0000 0.0000 x2
Zr1 0.0000 0.0000 0.3470 x4
Pt1 0.0000 0.5000 0.2500 x4

Calculated values
- Energy relative to the elements: -0.502 eV per atom
- Calculated density: 9.09 Mg/m³
- Crystal system: tetragonal
- E above lowest polymorph: 0.363 eV per atom


2.
A plane-wave DFT calculation with PBE-GGA was carried out for a geometry-optimized YZr2Pt structure.

Cell lengths 3.5872, 4.9897, 9.9593 Å; angles 90.00, 90.00, 90.00 degrees
Space group Imm2 (No. 44)
Symmetry-distinct sites (fractional):
Y1 0.0000 0.0000 0.0000 x2
Zr1 0.0000 0.0000 0.4475 x2
Zr2 0.0000 0.5000 0.2235 x2
Pt1 0.0000 0.5000 0.7345 x2

Calculated values
- Energy relative to the elements: -0.410 eV per atom
- Calculated density: 8.69 Mg/m³
- Crystal system: orthorhombic
- E above lowest polymorph: 0.112 eV per atom


3.
A plane-wave DFT calculation with PBE-GGA was carried out for a geometry-optimized YZr2Pt structure.

Cell lengths 8.1566, 8.1566, 5.9487 Å; angles 90.00, 90.00, 90.00 degrees
Space group I-42d (No. 122)
Symmetry-distinct sites (fractional):
Y1 0.0000 0.0000 0.0000 x4
Zr1 0.1897 0.2500 0.6250 x8
Pt1 0.0000 0.0000 0.5000 x4

Calculated values
- Energy relative to the elements: -0.302 eV per atom
- Calculated density: 7.83 Mg/m³
- Crystal system: tetragonal
- E above lowest polymorph: 0.221 eV per atom


4.
A plane-wave DFT calculation with PBE-GGA was carried out for a geometry-optimized YZr2Pt structure.

Cell lengths 3.4086, 3.4086, 28.1618 Å; angles 90.00, 90.00, 120.00 degrees
Space group R3m (No. 160, hexagonal axes)
Symmetry-distinct sites (fractional):
Y1 0.0000 0.0000 0.0000 x3
Zr1 0.0000 0.0000 0.2342 x3
Zr2 0.0000 0.0000 0.4792 x3
Pt1 0.0000 0.0000 0.7438 x3

Calculated values
- Energy relative to the elements: -0.293 eV per atom
- Calculated density: 8.20 Mg/m³
- Crystal system: trigonal
- E above lowest polymorph: 0.229 eV per atom


> Number 3 is which compound?

YZr2Pt